5
Lattice="-1.9225 2.0719 -4.3642 3.6003 -2.5175 -2.7812 -3.3292 -4.1860 -0.5207" Properties=species:S:1:pos:R:3 comment="ZrAsSe2N | Alexandria | GGA-PBE | relaxed" space_group=P4/mmm magmom_total_mub_per_atom=0.336 e_form_raw_ev_per_atom=0.83 polymorph_energy_ev_per_atom=0.6561 pbc="T T T"
Se 1.8002 -1.2587 -1.3906
Zr 0.0000 0.0000 0.0000
Se -0.9613 1.0360 -2.1821
N -0.8257 -2.3157 -3.8331
As -1.6646 -2.0930 -0.2604